(1)
# GGA-PBE Bi2SbCl2, relaxed
data_Bi2SbCl2
_chemical_formula_sum 'Bi4 Sb2 Cl4'
_symmetry_space_group_name_H-M 'P 4/m b m'
_symmetry_Int_Tables_number 127
_symmetry_space_group_name_Hall '-P 4 2ab'
_cell_length_a 9.261
_cell_length_b 9.261
_cell_length_c 3.255
_cell_angle_alpha 90.00
_cell_angle_beta 90.00
_cell_angle_gamma 90.00
loop_
_atom_site_label
_atom_site_fract_x
_atom_site_fract_y
_atom_site_fract_z
Bi1 0.204 0.296 0.000
Sb1 0.000 0.000 0.500
Cl1 0.117 0.617 0.500
# Excess energy over the best structure of this formula in the dataset   285.0 meV per atom
# Density   7265 kg/m3
# Uncorrected formation energy   -0.0668 eV/atom

***

(2)
# GGA-PBE SiBiSb2Cl, relaxed
data_SiBiSb2Cl
_chemical_formula_sum 'Si1 Bi1 Sb2 Cl1'
_symmetry_space_group_name_H-M 'P 4/m m m'
_symmetry_Int_Tables_number 123
_symmetry_space_group_name_Hall '-P 4 2'
_cell_length_a 5.205
_cell_length_b 5.205
_cell_length_c 5.527
_cell_angle_alpha 90.00
_cell_angle_beta 90.00
_cell_angle_gamma 90.00
loop_
_atom_site_label
_atom_site_fract_x
_atom_site_fract_y
_atom_site_fract_z
Si1 0.000 0.000 0.000
Bi1 0.000 0.000 0.500
Sb1 0.000 0.500 0.000
Cl1 0.500 0.500 0.500
# Density   5722 kg/m3
# Uncorrected formation energy   0.4667 eV/atom

***

(3)
# GGA-PBE Sr4BiSbCl2, relaxed
data_Sr4BiSbCl2
_chemical_formula_sum 'Sr4 Bi1 Sb1 Cl2'
_symmetry_space_group_name_H-M 'P 1 2/m 1'
_symmetry_Int_Tables_number 10
_cell_length_a 7.747
_cell_length_b 4.797
_cell_length_c 8.347
_cell_angle_alpha 90.00
_cell_angle_beta 111.11
_cell_angle_gamma 90.00
loop_
_symmetry_equiv_pos_as_xyz
'x,y,z'
'-x,-y,-z'
'-x,y,-z'
'x,-y,z'
loop_
_atom_site_label
_atom_site_fract_x
_atom_site_fract_y
_atom_site_fract_z
Sr1 0.238 0.000 0.244
Sr2 0.239 0.500 0.750
Bi1 0.000 0.000 0.500
Sb1 0.000 0.500 0.000
Cl1 0.500 0.000 0.000
Cl2 0.500 0.500 0.500
# Density   4315 kg/m3
# Uncorrected formation energy   -1.4763 eV/atom

***

(4)
# GGA-PBE BiSbTe2Cl, relaxed
data_BiSbTe2Cl
_chemical_formula_sum 'Bi1 Sb1 Te2 Cl1'
_symmetry_space_group_name_H-M 'P 4/m m m'
_symmetry_Int_Tables_number 123
_symmetry_space_group_name_Hall '-P 4 2'
_cell_length_a 5.903
_cell_length_b 5.903
_cell_length_c 5.954
_cell_angle_alpha 90.00
_cell_angle_beta 90.00
_cell_angle_gamma 90.00
loop_
_atom_site_label
_atom_site_fract_x
_atom_site_fract_y
_atom_site_fract_z
Bi1 0.000 0.000 0.000
Sb1 0.000 0.000 0.500
Te1 0.000 0.500 0.000
Cl1 0.500 0.500 0.500
# Excess energy over the best structure of this formula in the dataset   48.4 meV per atom
# Density   4973 kg/m3
# Uncorrected formation energy   0.6740 eV/atom